No. 1
DFT (PBE) results for ErSbPb after structural relaxation.

Calculated values
E_form (uncorrected)   -0.364 eV per atom
Crystal system   trigonal
Electronic total energy   -80.9 eV for the cell shown

Cell: 5.2679 5.2679 24.0418 Å, 90.00 90.00 120.00°
Space group R-3m (No. 166, hexagonal axes)
Asymmetric unit:
Er1 0.0000 0.0000 0.0902 [6 per cell]
Sb1 0.0000 0.0000 0.2205 [6 per cell]
Pb1 0.0000 0.0000 0.3514 [6 per cell]

=====

No. 2
DFT (PBE) results for Er10Sb3Pb3 after structural relaxation.

Calculated values
E_form (uncorrected)   -0.701 eV per atom
Crystal system   hexagonal
Electronic total energy   -80.3 eV for the cell shown

Cell: 8.9406 8.9406 6.3992 Å, 90.00 90.00 120.00°
Space group P-62m (No. 189)
Asymmetric unit:
Er1 0.0000 0.2410 0.0000 [3 per cell]
Er2 0.0000 0.7606 0.5000 [3 per cell]
Er3 0.3333 0.6667 0.2469 [4 per cell]
Sb1 0.0000 0.6095 0.0000 [3 per cell]
Pb1 0.0000 0.3932 0.5000 [3 per cell]

=====

No. 3
DFT (PBE) results for ErSb2Pb after structural relaxation.

Calculated values
E_form (uncorrected)   -0.379 eV per atom
Crystal system   trigonal
Electronic total energy   -54.1 eV for the cell shown

Cell: 4.5215 4.5215 21.9526 Å, 90.00 90.00 120.00°
Space group R3m (No. 160, hexagonal axes)
Asymmetric unit:
Er1 0.0000 0.0000 0.0000 [3 per cell]
Sb1 0.0000 0.0000 0.4084 [3 per cell]
Sb2 0.0000 0.0000 0.5924 [3 per cell]
Pb1 0.0000 0.0000 0.1698 [3 per cell]

=====

No. 4
DFT (PBE) results for Er4SbPbSe2 after structural relaxation.

Calculated values
E_form (uncorrected)   -1.235 eV per atom
Crystal system   monoclinic
Electronic total energy   -42.9 eV for the cell shown

Cell: 7.292 4.236 7.330 Å, 90.00 109.55 90.00°
Space group P2/m (No. 10)
Asymmetric unit:
Er1 0.241 0.000 0.248 [2 per cell]
Er2 0.242 0.500 0.746 [2 per cell]
Sb1 0.500 0.000 0.000 [1 per cell]
Pb1 0.500 0.500 0.500 [1 per cell]
Se1 0.000 0.000 0.500 [1 per cell]
Se2 0.000 0.500 0.000 [1 per cell]

=====

No. 5
DFT (PBE) results for Er6SbPb3Se2 after structural relaxation.

Calculated values
E_form (uncorrected)   -0.949 eV per atom
Crystal system   monoclinic
Electronic total energy   -122.0 eV for the cell shown

Cell: 7.294 12.578 7.671 Å, 90.00 108.41 90.00°
Space group C2/m (No. 12)
Asymmetric unit:
Er1 0.235 0.000 0.233 [4 per cell]
Er2 0.250 0.171 0.760 [8 per cell]
Sb1 0.000 0.500 0.000 [2 per cell]
Pb1 0.000 0.000 0.500 [2 per cell]
Pb2 0.000 0.339 0.500 [4 per cell]
Se1 0.000 0.167 0.000 [4 per cell]

=====

No. 6
DFT (PBE) results for Er6Sb3PbSe2 after structural relaxation.

Calculated values
E_form (uncorrected)   -1.202 eV per atom
Crystal system   monoclinic
Electronic total energy   -129.7 eV for the cell shown

Cell: 7.405 12.798 7.389 Å, 90.00 109.49 90.00°
Space group C2/m (No. 12)
Asymmetric unit:
Er1 0.240 0.000 0.241 [4 per cell]
Er2 0.248 0.170 0.754 [8 per cell]
Sb1 0.000 0.000 0.500 [2 per cell]
Sb2 0.000 0.336 0.500 [4 per cell]
Pb1 0.000 0.500 0.000 [2 per cell]
Se1 0.000 0.166 0.000 [4 per cell]

=====

No. 7
DFT (PBE) results for Er6Sb3TePb2 after structural relaxation.

Calculated values
E_form (uncorrected)   -0.894 eV per atom
Crystal system   monoclinic
Electronic total energy   -122.1 eV for the cell shown

Cell: 19.130 4.285 8.906 Å, 90.00 103.67 90.00°
Space group C2/m (No. 12)
Asymmetric unit:
Er1 0.001 0.000 0.257 [4 per cell]
Er2 0.166 0.500 0.588 [4 per cell]
Er3 0.168 0.500 0.080 [4 per cell]
Sb1 0.000 0.500 0.500 [2 per cell]
Sb2 0.164 0.000 0.834 [4 per cell]
Te1 0.000 0.500 0.000 [2 per cell]
Pb1 0.167 0.000 0.333 [4 per cell]

=====

No. 8
DFT (PBE) results for Er4SbTe2Pb after structural relaxation.

Calculated values
E_form (uncorrected)   -1.056 eV per atom
Crystal system   monoclinic
Electronic total energy   -40.8 eV for the cell shown

Cell: 7.550 4.371 7.567 Å, 90.00 109.47 90.00°
Space group P2/m (No. 10)
Asymmetric unit:
Er1 0.238 0.000 0.247 [2 per cell]
Er2 0.239 0.500 0.745 [2 per cell]
Sb1 0.000 0.500 0.000 [1 per cell]
Te1 0.500 0.000 0.000 [1 per cell]
Te2 0.500 0.500 0.500 [1 per cell]
Pb1 0.000 0.000 0.500 [1 per cell]

=====

Look up the electronic total energy of the fourth one.
-42.9 eV for the cell shown